# La2PrPb | Alexandria | PBE-GGA | optimized geometry
# M_tot: 0.01 Bohr magnetons per cell
# Excess energy over the best structure of this formula in the dataset: 195 meV/atom
# Symmetry: Fm-3m
# Formation enthalpy at 0 K: -18 kJ/mol of atoms
data_La2PrPb
_cell_length_a 8.0991
_cell_length_b 8.0991
_cell_length_c 8.0991
_cell_angle_alpha 90.00
_cell_angle_beta 90.00
_cell_angle_gamma 90.00
_symmetry_space_group_name_H-M 'P 1'
_symmetry_Int_Tables_number 1
loop_
_symmetry_equiv_pos_as_xyz
'x,y,z'
loop_
_atom_site_label
_atom_site_fract_x
_atom_site_fract_y
_atom_site_fract_z
_atom_site_occupancy
La1 0.2500 0.2500 0.2500 1
La2 0.2500 0.2500 0.7500 1
La3 0.2500 0.7500 0.2500 1
La4 0.2500 0.7500 0.7500 1
La5 0.7500 0.2500 0.2500 1
La6 0.7500 0.2500 0.7500 1
La7 0.7500 0.7500 0.2500 1
La8 0.7500 0.7500 0.7500 1
Pr1 0.0000 0.0000 0.0000 1
Pr2 0.0000 0.5000 0.5000 1
Pr3 0.5000 0.0000 0.5000 1
Pr4 0.5000 0.5000 0.0000 1
Pb1 0.0000 0.0000 0.5000 1
Pb2 0.0000 0.5000 0.0000 1
Pb3 0.5000 0.0000 0.0000 1
Pb4 0.5000 0.5000 0.5000 1